No. 1
First-principles (PBE-GGA) data for an optimized crystal structure of TbZr2ScP4, as listed in Alexandria.

Structure (POSCAR):
```
TbZr2ScP4
1.0
-1.936 -3.207 -0.620
3.013 -2.811 5.131
-5.583 2.969 2.084
P Zr Tb Sc
4 2 1 1
Direct
0.000 0.760 0.260 P
0.500 0.756 0.746 P
0.500 0.244 0.254 P
0.000 0.240 0.740 P
0.500 0.000 0.500 Zr
0.000 0.500 0.500 Zr
0.500 0.500 0.000 Tb
0.000 0.000 0.000 Sc
```

Computed properties:
Electronic total energy, eV/atom: -7.656
ΔE_f, meV per atom: -1444

No. 2
First-principles (PBE-GGA) data for an optimized crystal structure of ZrBe2Sb, as listed in Alexandria.

Structure (POSCAR):
```
ZrBe2Sb
1.0
3.887 0.000 0.000
0.000 3.529 -0.062
0.000 0.174 5.025
Be Sb Zr
2 1 1
Direct
0.500 0.236 0.214 Be
0.000 0.240 0.001 Be
0.000 0.267 0.507 Sb
0.500 0.757 0.778 Zr
```

Computed properties:
Electronic total energy, eV/atom: -4.945
Formation energy (no corrections), eV/atom: 0.086

No. 3
First-principles (PBE-GGA) data for an optimized crystal structure of Rb2Li2Si, as listed in Alexandria.

Structure (POSCAR):
```
Rb2Li2Si
1.0
7.382 0.000 0.000
0.000 7.382 0.000
0.000 0.000 6.111
Rb Si Li
4 2 4
Direct
0.317 0.183 0.500 Rb
0.683 0.817 0.500 Rb
0.183 0.683 0.500 Rb
0.817 0.317 0.500 Rb
0.000 0.000 0.000 Si
0.500 0.500 0.000 Si
0.713 0.213 0.000 Li
0.787 0.713 0.000 Li
0.287 0.787 0.000 Li
0.213 0.287 0.000 Li
```

Computed properties:
Electronic total energy, eV/atom: -2.081
Formation energy (no corrections), eV/atom: 0.156

No. 4
First-principles (PBE-GGA) data for an optimized crystal structure of Ce2SbAu, as listed in Alexandria.

Structure (POSCAR):
```
Ce2SbAu
1.0
-0.047 -4.230 -0.302
1.963 -2.357 2.929
-5.915 -2.424 5.084
Sb Ce Au
1 2 1
Direct
0.667 0.667 0.000 Sb
0.085 0.085 0.746 Ce
0.249 0.249 0.253 Ce
0.500 0.500 0.501 Au
```

Computed properties:
Electronic total energy, eV/atom: -5.486
Formation energy (no corrections), eV/atom: -0.669

No. 5
First-principles (PBE-GGA) data for an optimized crystal structure of PmNi2SnH, as listed in Alexandria.

Structure (POSCAR):
```
PmNi2SnH
1.0
-0.401 0.365 4.107
2.202 -5.271 -1.406
6.360 2.551 0.394
Ni Sn Pm H
4 2 2 2
Direct
0.854 0.709 0.444 Ni
0.146 0.291 0.556 Ni
0.854 0.709 0.056 Ni
0.146 0.291 0.944 Ni
0.285 0.570 0.250 Sn
0.715 0.430 0.750 Sn
0.570 0.139 0.250 Pm
0.430 0.861 0.750 Pm
0.000 0.000 0.000 H
0.000 0.000 0.500 H
```

Computed properties:
Electronic total energy, eV/atom: -5.182

No. 6
First-principles (PBE-GGA) data for an optimized crystal structure of NiPbBr2, as listed in Alexandria.

Structure (POSCAR):
```
NiPbBr2
1.0
3.458 0.000 0.000
0.000 3.669 -0.311
0.000 0.753 8.252
Br Ni Pb
2 1 1
Direct
0.000 0.256 0.449 Br
0.000 0.244 0.051 Br
0.500 0.250 0.250 Ni
0.500 0.750 0.750 Pb
```

Computed properties:
Electronic total energy, eV/atom: -3.294
Formation energy (no corrections), eV/atom: -0.085
Polymorph energy (0 for the lowest one), meV per atom: 245.5

No. 7
First-principles (PBE-GGA) data for an optimized crystal structure of LiPb3, as listed in Alexandria.

Structure (POSCAR):
```
LiPb3
1.0
-0.641 0.654 3.484
-3.356 0.331 -0.679
-1.192 -9.044 1.480
Pb Li
3 1
Direct
0.500 0.000 0.724 Pb
0.500 0.500 0.163 Pb
0.000 0.500 0.467 Pb
0.000 0.000 0.979 Li
```

Computed properties:
Electronic total energy, eV/atom: -3.292
ΔE_f, meV per atom: -32

No. 8
First-principles (PBE-GGA) data for an optimized crystal structure of Ga2Ni12Sn5, as listed in Alexandria.

Structure (POSCAR):
```
Ga2Ni12Sn5
1.0
6.845 0.000 0.000
-3.423 6.560 0.642
0.000 -1.569 6.291
Ni Sn Ga
12 5 2
Direct
0.190 0.760 0.381 Ni
0.810 0.240 0.619 Ni
0.467 0.344 0.228 Ni
0.430 0.240 0.619 Ni
0.570 0.760 0.381 Ni
0.069 0.138 0.151 Ni
0.123 0.656 0.772 Ni
0.533 0.656 0.772 Ni
0.877 0.344 0.228 Ni
0.931 0.862 0.849 Ni
0.529 0.058 0.321 Ni
0.471 0.942 0.679 Ni
0.221 0.442 0.501 Sn
0.000 0.000 0.500 Sn
0.733 0.465 0.941 Sn
0.267 0.535 0.059 Sn
0.779 0.558 0.499 Sn
0.698 0.000 0.000 Ga
0.302 0.000 0.000 Ga
```

Computed properties:
Electronic total energy, eV/atom: -5.026
ΔE_f, meV per atom: -3

Q: What is the electronic total energy in the sixth record?
A: -3.294 eV/atom